[1]
VASP calculation (SCAN) on a crystal of YRe2As relaxed with PBEsol.

```
YRe2As
1.0
-1.489 0.870 3.824
1.515 -2.019 3.350
3.579 3.237 2.958
As Y Re
1 1 2
direct
0.720 0.720 0.841
0.497 0.497 0.510
0.293 0.293 0.120
0.988 0.988 0.037
```

Energy relative to the elements = -0.338 eV per atom


[2]
VASP calculation (SCAN) on a crystal of Zr3V3C relaxed with PBEsol.

```
Zr3V3C
1.0
8.551 0.000 0.000
4.276 7.406 0.000
4.276 2.469 6.982
V Zr C
12 12 4
direct
0.125 0.125 0.125
0.125 0.625 0.125
0.326 0.326 0.021
0.326 0.021 0.326
0.924 0.924 0.924
0.021 0.326 0.326
0.924 0.229 0.924
0.924 0.924 0.229
0.229 0.924 0.924
0.125 0.125 0.625
0.326 0.326 0.326
0.625 0.125 0.125
0.559 0.559 0.941
0.691 0.309 0.309
0.941 0.941 0.559
0.941 0.559 0.559
0.941 0.559 0.941
0.559 0.941 0.559
0.691 0.691 0.309
0.691 0.309 0.691
0.309 0.309 0.691
0.309 0.691 0.309
0.559 0.941 0.941
0.309 0.691 0.691
0.125 0.625 0.625
0.625 0.125 0.625
0.625 0.625 0.625
0.625 0.625 0.125
```

Energy relative to the elements = -0.227 eV per atom


[3]
VASP calculation (SCAN) on a crystal of La5Hg relaxed with PBEsol.

```
La5Hg
1.0
-3.666 -1.798 3.995
-2.955 -3.254 -4.176
4.587 -2.484 3.091
La Hg
5 1
direct
0.000 0.689 0.000
0.500 0.333 0.667
0.000 0.311 0.311
0.500 0.667 0.333
0.000 0.000 0.689
0.500 0.000 0.000
```

Energy relative to the elements = -0.182 eV per atom


[4]
VASP calculation (SCAN) on a crystal of RbAg3N relaxed with PBEsol.

```
RbAg3N
1.0
-4.575 3.034 2.886
1.264 -3.075 5.236
3.992 4.451 1.650
Ag N Rb
3 1 1
direct
0.000 0.000 0.500
0.500 0.000 0.000
0.000 0.500 0.000
0.500 0.500 0.500
0.000 0.000 0.000
```

Uncorrected formation energy = 2147 meV/atom


[5]
VASP calculation (SCAN) on a crystal of AlCoTe relaxed with PBEsol.

```
AlCoTe
1.0
-1.004 -2.384 -2.132
3.234 0.871 0.139
0.858 -3.797 3.843
Co Al Te
1 1 1
direct
0.333 0.667 0.669
0.000 0.000 0.942
0.667 0.333 0.389
```

Uncorrected formation energy = 159 meV/atom


[6]
VASP calculation (SCAN) on a crystal of TlNi2Br relaxed with PBEsol.

```
TlNi2Br
1.0
3.585 0.000 0.000
0.000 3.585 0.000
-1.793 -1.793 5.322
Tl Ni Br
1 2 1
direct
0.500 0.500 0.000
0.000 0.000 0.000
0.750 0.250 0.500
0.250 0.750 0.500
```

Uncorrected formation energy = 513 meV/atom


[7]
VASP calculation (SCAN) on a crystal of Ca2CuNCl relaxed with PBEsol.

```
Ca2CuNCl
1.0
-1.029 -4.039 -0.052
2.457 -0.683 4.384
-4.256 1.051 2.549
N Ca Cl Cu
1 2 1 1
direct
0.500 0.500 0.500
0.000 0.000 0.500
0.000 0.500 0.000
0.000 0.000 0.000
0.500 0.000 0.000
```

Uncorrected formation energy = 309 meV/atom


[8]
VASP calculation (SCAN) on a crystal of ScCd3Au relaxed with PBEsol.

```
ScCd3Au
1.0
5.390 0.000 0.000
0.000 5.390 0.000
0.000 0.000 5.390
Cd Sc Au
3 1 1
direct
0.500 0.000 0.000
0.000 0.000 0.500
0.000 0.500 0.000
0.000 0.000 0.000
0.500 0.500 0.500
```

Energy relative to the elements = 0.919 eV per atom


[9]
VASP calculation (SCAN) on a crystal of MnIn2Cl relaxed with PBEsol.

```
MnIn2Cl
1.0
-4.457 0.361 -2.297
-3.491 -3.546 0.715
-4.129 1.040 2.673
In Cl Mn
2 1 1
direct
0.750 0.750 0.750
0.250 0.250 0.250
0.000 0.000 0.000
0.500 0.500 0.500
```

Uncorrected formation energy = 71 meV/atom


[10]
VASP calculation (SCAN) on a crystal of LiTiFe2H relaxed with PBEsol.

```
LiTiFe2H
1.0
-2.346 -2.985 -0.193
1.075 -0.613 -3.595
3.289 -2.677 1.440
Li Ti H Fe
1 1 1 2
direct
0.000 0.000 0.000
0.000 0.000 0.500
0.500 0.500 0.500
0.500 0.000 0.000
0.000 0.500 0.000
```

E_tot = -50.73 eV/f.u.


[11]
VASP calculation (SCAN) on a crystal of Y2HgCl relaxed with PBEsol.

```
Y2HgCl
1.0
-1.479 4.832 0.745
-4.971 1.128 0.328
-2.013 1.393 4.484
Y Hg Cl
2 1 1
direct
0.750 0.750 0.750
0.250 0.250 0.250
0.000 0.000 0.000
0.500 0.500 0.500
```

Uncorrected formation energy = -871 meV/atom


[12]
VASP calculation (SCAN) on a crystal of K2Hg3Ge2S8 relaxed with PBEsol.

```
K2Hg3Ge2S8
1.0
-2.037 2.946 5.258
-0.543 -5.127 3.727
8.925 0.972 3.580
Hg S K Ge
3 8 2 2
direct
0.517 0.483 0.000
0.843 0.157 0.500
0.365 0.635 0.500
0.753 0.725 0.923
0.840 0.233 0.745
0.395 0.760 0.257
0.770 0.732 0.540
0.268 0.230 0.460
0.767 0.160 0.255
0.275 0.247 0.077
0.240 0.605 0.743
0.934 0.628 0.231
0.372 0.066 0.769
0.897 0.571 0.729
0.429 0.103 0.271
```

Uncorrected formation energy = -619 meV/atom


Please write out number 11 again, unchanged.
VASP calculation (SCAN) on a crystal of Y2HgCl relaxed with PBEsol.

```
Y2HgCl
1.0
-1.479 4.832 0.745
-4.971 1.128 0.328
-2.013 1.393 4.484
Y Hg Cl
2 1 1
direct
0.750 0.750 0.750
0.250 0.250 0.250
0.000 0.000 0.000
0.500 0.500 0.500
```

Uncorrected formation energy = -871 meV/atom


Please write out number 11 again, unchanged.
VASP calculation (SCAN) on a crystal of Y2HgCl relaxed with PBEsol.

```
Y2HgCl
1.0
-1.479 4.832 0.745
-4.971 1.128 0.328
-2.013 1.393 4.484
Y Hg Cl
2 1 1
direct
0.750 0.750 0.750
0.250 0.250 0.250
0.000 0.000 0.000
0.500 0.500 0.500
```

Uncorrected formation energy = -871 meV/atom